[1]
VASP calculation (PBE-GGA) on a relaxed CrAgSb crystal.

Values from the calculation:
The polymorph energy (0 for the lowest one) comes out at 0.081 eV per atom. The calculation puts the total magnetic moment at 3.40 μB/f.u.

Lattice parameters (Å, degrees): 6.3734 6.3734 6.3734 90.00 90.00 90.00
Last column: nearest neighbours and their distance in Å.
Space group F-43m (No. 216)
Symmetry-distinct sites (fractional):
Cr 0.0000 0.0000 0.0000 (multiplicity 4)  4 Sb 2.76, 4 Ag 2.76
Ag 0.2500 0.2500 0.7500 (multiplicity 4)  4 Cr 2.76
Sb 0.2500 0.2500 0.2500 (multiplicity 4)  4 Cr 2.76



[2]
VASP calculation (PBE-GGA) on a relaxed CrAg2Sb crystal.

Values from the calculation:
For the total energy, the calculation gives -4.38 eV per atom. The calculation puts the total magnetic moment at 3.86 μB/f.u.

Lattice parameters (Å, degrees): 3.1843 3.1843 27.9910 90.00 90.00 120.00
Last column: nearest neighbours and their distance in Å.
Space group R-3m (No. 166, hexagonal axes)
Symmetry-distinct sites (fractional):
Cr 0.0000 0.0000 0.0000 (multiplicity 3)  6 Ag 2.85, 6 Cr 3.18
Ag 0.0000 0.0000 0.2556 (multiplicity 6)  3 Cr 2.85, 3 Sb 3.10, 6 Ag 3.18
Sb 0.0000 0.0000 0.5000 (multiplicity 3)  6 Ag 3.10, 6 Sb 3.18